# LaMnSb2H

LaMnSb2H after structural relaxation (PBE, Alexandria via LeMat-Bulk).

Size of the total moment, μB per formula unit: 5.8
Symmetry: P4/mmm
VASP energy, hartree per atom: -0.142

POSCAR file:
```
LaMnSb2H
1.0
6.078 0.000 0.000
0.000 6.078 0.000
0.000 0.000 6.192
La Mn Sb H
1 1 2 1
direct
0.000 0.000 0.000
0.000 0.000 0.500
0.000 0.500 0.000
0.500 0.000 0.000
0.500 0.500 0.500
```